A plane-wave DFT calculation with PBE was carried out for ZrZnSnB2 after structural relaxation.

a = 4.499 Å, b = 4.499 Å, c = 5.231 Å
α = 90.00°, β = 90.00°, γ = 90.00°
Fractional coordinates of all 5 atoms:
Zr 0.000 0.000 0.000
Zn 0.000 0.000 0.500
Sn 0.500 0.500 0.500
B 0.000 0.500 0.000
B 0.500 0.000 0.000

Summary:
Magnetization = 0.00 Bohr magnetons per cell
Space-group type = P4/mmm, No. 123
Energy of formation = 1.2896 eV/atom
E = -0.1524 hartree per atom